[1]
Density functional theory data (PBE) for a relaxed structure of UTcGeRu.

Lattice parameters (Å, degrees): 4.5814 4.5814 4.5814 60.00 60.00 60.00
Sites, in units of the cell vectors:
U: 0.0000 0.0000 0.0000
Tc: 0.7500 0.7500 0.7500
Ge: 0.5000 0.5000 0.5000
Ru: 0.2500 0.2500 0.2500

- ΔE_f: -0.211 eV/atom
- M_tot: 0.2960 μB per atom

---

[2]
Density functional theory data (PBE) for a relaxed structure of VTcGeRu2.

Lattice parameters (Å, degrees): 4.4028 4.4028 4.4928 90.00 90.00 90.00
Sites, in units of the cell vectors:
V: 0.0000 0.0000 0.0000
Tc: 0.5000 0.5000 0.0000
Ge: 0.5000 0.5000 0.5000
Ru: 0.0000 0.5000 0.5000
Ru: 0.5000 0.0000 0.5000

- ΔE_f: 1.178 eV/atom
- M_tot: 0.0006 μB per atom

---

[3]
Density functional theory data (PBE) for a relaxed structure of VTcGeRu.

Lattice parameters (Å, degrees): 4.2746 4.2746 4.2746 60.00 60.00 60.00
Sites, in units of the cell vectors:
V: 0.0000 0.0000 0.0000
Tc: 0.2500 0.2500 0.2500
Ge: 0.5000 0.5000 0.5000
Ru: 0.7500 0.7500 0.7500

- ΔE_f: -0.369 eV/atom
- M_tot: 0.0001 μB per atom

---

[4]
Density functional theory data (PBE) for a relaxed structure of ZnTcGeRu.

Lattice parameters (Å, degrees): 4.2921 4.2921 4.2921 60.00 60.00 60.00
Sites, in units of the cell vectors:
Zn: 0.0000 0.0000 0.0000
Tc: 0.2500 0.2500 0.2500
Ge: 0.5000 0.5000 0.5000
Ru: 0.7500 0.7500 0.7500

- ΔE_f: -0.001 eV/atom
- M_tot: 0.0001 μB per atom